No. 1
This record from the Alexandria database describes a relaxed Ta2IrCl crystal. The functional is GGA-PBE.

Lattice parameters (Å, degrees): 4.253 4.253 6.029 98.40 98.40 39.62
Fractional coordinates of all 4 atoms:
Ta 0.248 0.248 0.254
Ta 0.752 0.752 0.746
Ir 0.000 0.000 0.500
Cl 0.500 0.500 0.000

Values from the calculation:
Formation energy (no corrections)   0.0841 eV/atom
Symmetry   No. 12
Crystal system   monoclinic
Energy above the most stable polymorph in this dataset   256 meV/atom

No. 2
This record from the Alexandria database describes a relaxed TaIrCl4 crystal. The functional is GGA-PBE.

Lattice parameters (Å, degrees): 5.398 5.398 5.398 60.00 60.00 60.00
Fractional coordinates of all 6 atoms:
Ta 0.000 0.000 0.000
Ir 0.250 0.250 0.250
Cl 0.125 0.625 0.625
Cl 0.625 0.125 0.625
Cl 0.625 0.625 0.125
Cl 0.625 0.625 0.625

Values from the calculation:
Formation energy (no corrections)   1.4793 eV/atom
Symmetry   No. 216
Crystal system   cubic

No. 3
This record from the Alexandria database describes a relaxed Ta2IrCl crystal. The functional is GGA-PBE.

Lattice parameters (Å, degrees): 4.606 4.606 4.606 60.00 60.00 60.00
Fractional coordinates of all 4 atoms:
Ta 0.000 0.000 0.000
Ta 0.250 0.250 0.250
Ir 0.500 0.500 0.500
Cl 0.750 0.750 0.750

Values from the calculation:
Formation energy (no corrections)   0.7475 eV/atom
Symmetry   No. 216
Crystal system   cubic
Energy above the most stable polymorph in this dataset   919 meV/atom

No. 4
This record from the Alexandria database describes a relaxed TaIrCl2 crystal. The functional is GGA-PBE.

Lattice parameters (Å, degrees): 5.190 5.190 3.058 104.97 104.97 113.34
Fractional coordinates of all 4 atoms:
Ta 0.000 0.000 0.000
Ir 0.500 0.500 0.000
Cl 0.000 0.500 0.000
Cl 0.500 0.000 0.000

Values from the calculation:
Formation energy (no corrections)   0.3452 eV/atom
Symmetry   No. 12
Crystal system   monoclinic
Energy above the most stable polymorph in this dataset   912 meV/atom

No. 5
This record from the Alexandria database describes a relaxed TaIrCl2 crystal. The functional is GGA-PBE.

Lattice parameters (Å, degrees): 4.579 4.579 4.579 60.00 60.00 60.00
Fractional coordinates of all 4 atoms:
Ta 0.000 0.000 0.000
Ir 0.250 0.250 0.250
Cl 0.500 0.500 0.500
Cl 0.750 0.750 0.750

Values from the calculation:
Formation energy (no corrections)   0.3394 eV/atom
Symmetry   No. 216
Crystal system   cubic
Energy above the most stable polymorph in this dataset   906 meV/atom

No. 6
This record from the Alexandria database describes a relaxed TaIrCl2 crystal. The functional is GGA-PBE.

Lattice parameters (Å, degrees): 5.069 5.069 5.069 133.63 133.63 67.66
Fractional coordinates of all 4 atoms:
Ta 0.000 0.000 0.000
Ir 0.500 0.500 0.000
Cl 0.250 0.750 0.500
Cl 0.750 0.250 0.500

Values from the calculation:
Formation energy (no corrections)   0.7396 eV/atom
Symmetry   No. 139
Crystal system   tetragonal
Energy above the most stable polymorph in this dataset   1306 meV/atom

No. 7
This record from the Alexandria database describes a relaxed Ta2IrCl crystal. The functional is GGA-PBE.

Lattice parameters (Å, degrees): 4.550 4.550 4.550 60.00 60.00 60.00
Fractional coordinates of all 4 atoms:
Ta 0.250 0.250 0.250
Ta 0.750 0.750 0.750
Ir 0.000 0.000 0.000
Cl 0.500 0.500 0.500

Values from the calculation:
Formation energy (no corrections)   0.1627 eV/atom
Symmetry   No. 225
Crystal system   cubic
Energy above the most stable polymorph in this dataset   335 meV/atom

No. 8
This record from the Alexandria database describes a relaxed TaIrCl2 crystal. The functional is GGA-PBE.

Lattice parameters (Å, degrees): 3.525 3.207 8.271 90.00 101.72 90.00
Fractional coordinates of all 4 atoms:
Ta 0.000 0.000 0.000
Ir 0.566 0.500 0.139
Cl 0.157 0.000 0.329
Cl 0.886 0.500 0.760

Values from the calculation:
Formation energy (no corrections)   -0.5667 eV/atom
Symmetry   No. 6
Crystal system   monoclinic
Energy above the most stable polymorph in this dataset   0 meV/atom

No. 9
This record from the Alexandria database describes a relaxed TaIrCl3 crystal. The functional is GGA-PBE.

Lattice parameters (Å, degrees): 4.791 4.791 4.791 90.00 90.00 90.00
Fractional coordinates of all 5 atoms:
Ta 0.000 0.000 0.000
Ir 0.500 0.500 0.500
Cl 0.000 0.000 0.500
Cl 0.000 0.500 0.000
Cl 0.500 0.000 0.000

Values from the calculation:
Formation energy (no corrections)   0.8177 eV/atom
Symmetry   No. 221
Crystal system   cubic
Energy above the most stable polymorph in this dataset   0 meV/atom

No. 10
This record from the Alexandria database describes a relaxed Ta2IrCl crystal. The functional is GGA-PBE.

Lattice parameters (Å, degrees): 5.554 5.554 5.554 149.21 130.53 59.40
Fractional coordinates of all 4 atoms:
Ta 0.000 0.000 0.000
Ta 0.718 0.218 0.500
Ir 0.473 0.473 0.000
Cl 0.210 0.710 0.500

Values from the calculation:
Formation energy (no corrections)   0.0921 eV/atom
Symmetry   No. 44
Crystal system   orthorhombic
Energy above the most stable polymorph in this dataset   264 meV/atom

No. 11
This record from the Alexandria database describes a relaxed TaIrCl2 crystal. The functional is GGA-PBE.

Lattice parameters (Å, degrees): 6.215 6.215 6.215 124.17 124.17 82.92
Fractional coordinates of all 8 atoms:
Ta 0.000 0.000 0.000
Ta 0.750 0.250 0.500
Ir 0.250 0.750 0.500
Ir 0.500 0.500 0.000
Cl 0.128 0.625 0.003
Cl 0.375 0.378 0.503
Cl 0.622 0.125 0.997
Cl 0.875 0.872 0.497

Values from the calculation:
Formation energy (no corrections)   1.0103 eV/atom
Symmetry   No. 122
Crystal system   tetragonal
Energy above the most stable polymorph in this dataset   1577 meV/atom

No. 12
This record from the Alexandria database describes a relaxed Ta2IrCl crystal. The functional is GGA-PBE.

Lattice parameters (Å, degrees): 9.033 9.033 9.033 18.63 18.63 18.63
Fractional coordinates of all 4 atoms:
Ta 0.249 0.249 0.249
Ta 0.751 0.751 0.751
Ir 0.000 0.000 0.000
Cl 0.500 0.500 0.500

Values from the calculation:
Formation energy (no corrections)   -0.0851 eV/atom
Symmetry   No. 166
Crystal system   trigonal
Energy above the most stable polymorph in this dataset   87 meV/atom

No. 13
This record from the Alexandria database describes a relaxed TaIrCl2 crystal. The functional is GGA-PBE.

Lattice parameters (Å, degrees): 2.900 2.900 9.338 90.00 90.00 90.00
Fractional coordinates of all 4 atoms:
Ta 0.000 0.000 0.000
Ir 0.000 0.000 0.500
Cl 0.500 0.500 0.169
Cl 0.500 0.500 0.831

Values from the calculation:
Formation energy (no corrections)   0.5506 eV/atom
Symmetry   No. 123
Crystal system   tetragonal
Energy above the most stable polymorph in this dataset   1117 meV/atom

No. 14
This record from the Alexandria database describes a relaxed Ta2IrCl crystal. The functional is GGA-PBE.

Lattice parameters (Å, degrees): 5.733 5.733 5.733 107.88 107.88 112.71
Fractional coordinates of all 8 atoms:
Ta 0.111 0.125 0.486
Ta 0.375 0.889 0.014
Ta 0.639 0.625 0.514
Ta 0.875 0.361 0.986
Ir 0.250 0.750 0.500
Ir 0.500 0.500 0.000
Cl 0.000 0.000 0.000
Cl 0.750 0.250 0.500

Values from the calculation:
Formation energy (no corrections)   0.3078 eV/atom
Symmetry   No. 122
Crystal system   tetragonal
Energy above the most stable polymorph in this dataset   480 meV/atom

No. 15
This record from the Alexandria database describes a relaxed Ta2IrCl crystal. The functional is GGA-PBE.

Lattice parameters (Å, degrees): 9.824 9.824 9.824 17.61 17.61 17.61
Fractional coordinates of all 4 atoms:
Ta 0.000 0.000 0.000
Ta 0.248 0.248 0.248
Ir 0.735 0.735 0.735
Cl 0.519 0.519 0.519

Values from the calculation:
Formation energy (no corrections)   -0.1718 eV/atom
Symmetry   No. 160
Crystal system   trigonal
Energy above the most stable polymorph in this dataset   0 meV/atom